(1)
! LaMnAs2, single point on PBEsol structure, DFT SCAN; values from VASP
&SYSTEM
  ibrav = 0, nat = 8, ntyp = 3
/
ATOMIC_SPECIES
As 74.92 As.upf
Mn 54.94 Mn.upf
La 138.91 La.upf
ATOMIC_POSITIONS crystal
As 0.7071 0.3750 0.2500
As 0.5429 0.8750 0.2500
As 0.6250 0.4571 0.7500
As 0.1250 0.2929 0.7500
Mn 0.7500 0.2500 0.5000
Mn 0.5000 0.5000 0.0000
La 0.2500 0.7500 0.5000
La 0.0000 0.0000 0.0000
CELL_PARAMETERS angstrom
4.9329 0.0000 0.0000
0.0000 4.9329 0.0000
-2.4665 -2.4665 7.7314
! E	-26.07	eV per atom
! energy of formation from the pure elements	-0.63	eV per atom

=====

(2)
! LaMnAs2, single point on PBEsol structure, DFT SCAN; values from VASP
&SYSTEM
  ibrav = 0, nat = 4, ntyp = 3
/
ATOMIC_SPECIES
As 74.92 As.upf
La 138.91 La.upf
Mn 54.94 Mn.upf
ATOMIC_POSITIONS crystal
As 0.0000 0.0000 0.8990
As 0.5000 0.5000 0.2998
La 0.0000 0.0000 0.4111
Mn 0.5000 0.5000 0.8901
CELL_PARAMETERS angstrom
3.9856 0.0000 0.0000
0.0000 3.9856 0.0000
0.0000 0.0000 5.9870
! E	-26.23	eV per atom
! energy of formation from the pure elements	-0.79	eV per atom

=====

(3)
! LaMnAs3, single point on PBEsol structure, DFT SCAN; values from VASP
&SYSTEM
  ibrav = 0, nat = 5, ntyp = 3
/
ATOMIC_SPECIES
As 74.92 As.upf
Mn 54.94 Mn.upf
La 138.91 La.upf
ATOMIC_POSITIONS crystal
As 0.0000 0.5000 0.0000
As 0.0000 0.0000 0.5000
As 0.5000 0.0000 0.0000
Mn 0.0000 0.0000 0.0000
La 0.5000 0.5000 0.5000
CELL_PARAMETERS angstrom
-2.2258 -2.6649 3.1864
1.3161 -3.8812 -2.3266
3.9399 -0.2090 2.5773
! E	-25.00	eV per atom
! energy of formation from the pure elements	-0.62	eV per atom

=====

(4)
! La4MnAs, single point on PBEsol structure, DFT SCAN; values from VASP
&SYSTEM
  ibrav = 0, nat = 6, ntyp = 3
/
ATOMIC_SPECIES
As 74.92 As.upf
La 138.91 La.upf
Mn 54.94 Mn.upf
ATOMIC_POSITIONS crystal
As 0.0000 0.0000 0.0000
La 0.3743 0.3743 0.3743
La 0.3743 0.3743 0.8770
La 0.8770 0.3743 0.3743
La 0.3743 0.8770 0.3743
Mn 0.7500 0.7500 0.7500
CELL_PARAMETERS angstrom
-2.1434 3.2944 4.8221
-3.9125 -2.6214 4.0645
1.9265 -1.3146 5.7672
! E	-34.86	eV per atom
! energy of formation from the pure elements	0.28	eV per atom

=====

(5)
! LaMnAs2, single point on PBEsol structure, DFT SCAN; values from VASP
&SYSTEM
  ibrav = 0, nat = 4, ntyp = 3
/
ATOMIC_SPECIES
As 74.92 As.upf
La 138.91 La.upf
Mn 54.94 Mn.upf
ATOMIC_POSITIONS crystal
As 0.1959 0.8041 0.8041
As 0.8041 0.1959 0.1959
La 0.0000 0.5000 0.5000
Mn 0.5000 0.0000 0.0000
CELL_PARAMETERS angstrom
4.1078 0.0000 0.0000
2.0539 4.6003 -0.0568
2.0539 0.8903 4.5137
! E	-26.30	eV per atom
! energy of formation from the pure elements	-0.86	eV per atom

=====

(6)
! LaMn2As, single point on PBEsol structure, DFT SCAN; values from VASP
&SYSTEM
  ibrav = 0, nat = 4, ntyp = 3
/
ATOMIC_SPECIES
As 74.92 As.upf
La 138.91 La.upf
Mn 54.94 Mn.upf
ATOMIC_POSITIONS crystal
As 0.0000 0.0000 0.4312
La 0.5000 0.5000 0.7535
Mn 0.0000 0.0000 0.0733
Mn 0.5000 0.5000 0.2420
CELL_PARAMETERS angstrom
-0.0430 -3.2421 -0.1165
3.1955 -0.0222 -0.5612
1.1841 -0.2584 6.7522
! E	-25.31	eV per atom
! energy of formation from the pure elements	-0.36	eV per atom

=====

Among the records above, which one has the lowest E?
La4MnAs

=====

Which value of energy of formation from the pure elements does entry 5 give?
-0.86 eV per atom

=====

What is the energy of formation from the pure elements in the second record?
-0.79 eV per atom

=====

Which value of E does entry 6 give?
-25.31 eV per atom